Nd8Ho3Tl: optimized geometry, PBE.

```
data_Nd8Ho3Tl
_chemical_formula_sum 'Nd16 Ho6 Tl2'
_cell_length_a 8.7283
_cell_length_b 8.7283
_cell_length_c 11.6390
_cell_angle_alpha 90.00
_cell_angle_beta 90.00
_cell_angle_gamma 90.00
_space_group_name_H-M_alt 'I -4 2 m'
_space_group_IT_number 121
_space_group_name_Hall 'I -4 2'
loop_
_atom_site_label
_atom_site_fract_x
_atom_site_fract_y
_atom_site_fract_z
_atom_site_occupancy
Nd1 0.1283 0.1283 0.2456 1
Nd2 0.2442 0.2442 0.9783 1
Ho1 0.0000 0.0000 0.0000 1
Ho2 0.0000 0.5000 0.2500 1
Tl1 0.0000 0.0000 0.5000 1
```

Calculated values
DFT formation energy	44	kJ per mole of atoms



LaSmY2Th: optimized geometry, PBE.

```
data_LaSmY2Th
_chemical_formula_sum 'La2 Sm2 Y4 Th2'
_cell_length_a 8.5500
_cell_length_b 6.3679
_cell_length_c 6.7389
_cell_angle_alpha 90.00
_cell_angle_beta 100.06
_cell_angle_gamma 90.00
_space_group_name_H-M_alt 'P 1 2/c 1'
_space_group_IT_number 13
_space_group_name_Hall '-P 2yc'
loop_
_atom_site_label
_atom_site_fract_x
_atom_site_fract_y
_atom_site_fract_z
_atom_site_occupancy
La1 0.0000 0.0000 0.0000 1
Sm1 0.5000 0.1267 0.2500 1
Y1 0.3249 0.3800 0.6141 1
Th1 0.0000 0.4608 0.2500 1
```

Calculated values
DFT formation energy	32	kJ per mole of atoms



Zr2NiAuN: optimized geometry, PBE.

```
data_Zr2NiAuN
_chemical_formula_sum 'Zr2 Ni1 Au1 N1'
_cell_length_a 4.4962
_cell_length_b 4.4962
_cell_length_c 3.8594
_cell_angle_alpha 90.00
_cell_angle_beta 90.00
_cell_angle_gamma 90.00
_space_group_name_H-M_alt 'P 4/m m m'
_space_group_IT_number 123
_space_group_name_Hall '-P 4 2'
loop_
_atom_site_label
_atom_site_fract_x
_atom_site_fract_y
_atom_site_fract_z
_atom_site_occupancy
Zr1 0.0000 0.5000 0.0000 1
Ni1 0.0000 0.0000 0.5000 1
Au1 0.5000 0.5000 0.5000 1
N1 0.0000 0.0000 0.0000 1
```

Calculated values
formation energy from raw total energies	-0.788	eV/atom



Cr2PtBr: optimized geometry, PBE.

```
data_Cr2PtBr
_chemical_formula_sum 'Cr8 Pt4 Br4'
_cell_length_a 6.1377
_cell_length_b 6.1377
_cell_length_c 6.1377
_cell_angle_alpha 90.00
_cell_angle_beta 90.00
_cell_angle_gamma 90.00
_space_group_name_H-M_alt 'F m -3 m'
_space_group_IT_number 225
_space_group_name_Hall '-F 4 2 3'
loop_
_atom_site_label
_atom_site_fract_x
_atom_site_fract_y
_atom_site_fract_z
_atom_site_occupancy
Cr1 0.2500 0.2500 0.2500 1
Pt1 0.0000 0.0000 0.0000 1
Br1 0.0000 0.0000 0.5000 1
```

Calculated values
formation energy from raw total energies	0.719	eV/atom
energy above the most stable polymorph in this dataset	571	meV/atom



LiMgPaN3: optimized geometry, PBE.

```
data_LiMgPaN3
_chemical_formula_sum 'Li2 Mg2 Pa2 N6'
_cell_length_a 5.1656
_cell_length_b 3.3119
_cell_length_c 8.3717
_cell_angle_alpha 90.00
_cell_angle_beta 100.03
_cell_angle_gamma 90.00
_space_group_name_H-M_alt 'P 1 21/m 1'
_space_group_IT_number 11
_space_group_name_Hall '-P 2yb'
loop_
_atom_site_label
_atom_site_fract_x
_atom_site_fract_y
_atom_site_fract_z
_atom_site_occupancy
Li1 0.1389 0.2500 0.1279 1
Mg1 0.2309 0.7500 0.4412 1
Pa1 0.3400 0.2500 0.8139 1
N1 0.0510 0.7500 0.6669 1
N2 0.2795 0.7500 0.0044 1
N3 0.4601 0.2500 0.3289 1
```

Calculated values
formation energy from raw total energies	-0.901	eV/atom



FeNiHg2: optimized geometry, PBE.

```
data_FeNiHg2
_chemical_formula_sum 'Fe4 Ni4 Hg8'
_cell_length_a 7.2372
_cell_length_b 7.2372
_cell_length_c 5.5820
_cell_angle_alpha 90.00
_cell_angle_beta 90.00
_cell_angle_gamma 90.00
_space_group_name_H-M_alt 'I -4 2 d'
_space_group_IT_number 122
_space_group_name_Hall 'I -4 2bw'
loop_
_atom_site_label
_atom_site_fract_x
_atom_site_fract_y
_atom_site_fract_z
_atom_site_occupancy
Fe1 0.0000 0.0000 0.0000 1
Ni1 0.0000 0.0000 0.5000 1
Hg1 0.2397 0.2500 0.6250 1
```

Calculated values
energy above the most stable polymorph in this dataset	383	meV/atom
DFT formation energy	61	kJ per mole of atoms



LiMgBi2: optimized geometry, PBE.

```
data_LiMgBi2
_chemical_formula_sum 'Li4 Mg4 Bi8'
_cell_length_a 8.1225
_cell_length_b 8.1225
_cell_length_c 6.6154
_cell_angle_alpha 90.00
_cell_angle_beta 90.00
_cell_angle_gamma 90.00
_space_group_name_H-M_alt 'I -4 2 d'
_space_group_IT_number 122
_space_group_name_Hall 'I -4 2bw'
loop_
_atom_site_label
_atom_site_fract_x
_atom_site_fract_y
_atom_site_fract_z
_atom_site_occupancy
Li1 0.0000 0.0000 0.0000 1
Mg1 0.0000 0.0000 0.5000 1
Bi1 0.2497 0.2500 0.1250 1
```

Calculated values
DFT formation energy	-7	kJ per mole of atoms



Ac2TbAlS6: optimized geometry, PBE.

```
data_Ac2TbAlS6
_chemical_formula_sum 'Ac4 Tb2 Al2 S12'
_cell_length_a 11.9711
_cell_length_b 6.8868
_cell_length_c 7.0773
_cell_angle_alpha 90.00
_cell_angle_beta 123.74
_cell_angle_gamma 90.00
_space_group_name_H-M_alt 'C 1 2/m 1'
_space_group_IT_number 12
_space_group_name_Hall '-C 2y'
loop_
_atom_site_label
_atom_site_fract_x
_atom_site_fract_y
_atom_site_fract_z
_atom_site_occupancy
Ac1 0.2436 0.0000 0.2224 1
Tb1 0.0000 0.0000 0.5000 1
Al1 0.0000 0.5000 0.0000 1
S1 0.0588 0.2602 0.8252 1
S2 0.2353 0.5000 0.3379 1
```

Calculated values
formation energy from raw total energies	-1.826	eV/atom



La2PmSm4Tm: optimized geometry, PBE.

```
data_La2PmSm4Tm
_chemical_formula_sum 'La2 Pm1 Sm4 Tm1'
_cell_length_a 5.1445
_cell_length_b 5.1546
_cell_length_c 10.3415
_cell_angle_alpha 90.00
_cell_angle_beta 90.06
_cell_angle_gamma 90.00
_space_group_name_H-M_alt 'P 1 2/m 1'
_space_group_IT_number 10
_space_group_name_Hall '-P 2y'
loop_
_atom_site_label
_atom_site_fract_x
_atom_site_fract_y
_atom_site_fract_z
_atom_site_occupancy
La1 0.0000 0.0000 0.0000 1
La2 0.5000 0.5000 0.5000 1
Pm1 0.0000 0.0000 0.5000 1
Sm1 0.9996 0.5000 0.2476 1
Sm2 0.5000 0.0000 0.2480 1
Tm1 0.5000 0.5000 0.0000 1
```

Calculated values
DFT formation energy	2	kJ per mole of atoms



Rb2BCF6: optimized geometry, PBE.

```
data_Rb2BCF6
_chemical_formula_sum 'Rb4 B2 C2 F12'
_cell_length_a 6.1763
_cell_length_b 6.1763
_cell_length_c 8.2142
_cell_angle_alpha 90.00
_cell_angle_beta 90.00
_cell_angle_gamma 90.00
_space_group_name_H-M_alt 'I 4/m m m'
_space_group_IT_number 139
_space_group_name_Hall '-I 4 2'
loop_
_atom_site_label
_atom_site_fract_x
_atom_site_fract_y
_atom_site_fract_z
_atom_site_occupancy
Rb1 0.0000 0.5000 0.2500 1
B1 0.0000 0.0000 0.0000 1
C1 0.0000 0.0000 0.5000 1
F1 0.0000 0.0000 0.2834 1
F2 0.1732 0.1732 0.0000 1
```

Calculated values
formation energy from raw total energies	-1.601	eV/atom



SiB2PC: optimized geometry, PBE.

```
data_SiB2PC
_chemical_formula_sum 'Si1 B2 P1 C1'
_cell_length_a 3.7260
_cell_length_b 2.9535
_cell_length_c 4.8127
_cell_angle_alpha 90.00
_cell_angle_beta 111.05
_cell_angle_gamma 90.00
_space_group_name_H-M_alt 'P 1 m 1'
_space_group_IT_number 6
_space_group_name_Hall 'P -2y'
loop_
_atom_site_label
_atom_site_fract_x
_atom_site_fract_y
_atom_site_fract_z
_atom_site_occupancy
Si1 0.0000 0.0000 0.0000 1
B1 0.6240 0.0000 0.2888 1
B2 0.8444 0.5000 0.2455 1
P1 0.2774 0.5000 0.6271 1
C1 0.5703 0.0000 0.6165 1
```

Calculated values
formation energy from raw total energies	0.330	eV/atom
energy above the most stable polymorph in this dataset	218	meV/atom



| no. | raw total energy (eV/atom) | magnetization (μB per atom) |
| --- | --- | --- |
| 1 | -4.06 | 0.000 |
| 2 | -5.67 | 0.000 |
| 3 | -7.68 | 0.000 |
| 4 | -6.02 | 0.000 |
| 5 | -7.23 | 0.000 |
| 6 | -3.08 | 0.726 |
| 7 | -2.89 | 0.000 |
| 8 | -5.96 | 0.000 |
| 9 | -4.72 | 0.000 |
| 10 | -4.51 | 0.100 |
| 11 | -6.35 | 0.000 |